1.
# ZrMn2Ag

An optimized crystal structure of ZrMn2Ag (PBE, the Alexandria database).

```
ZrMn2Ag
1.0
0.0000 3.2052 3.2052
3.2052 0.0000 3.2052
3.2052 3.2052 0.0000
Zr Mn Ag
1 2 1
direct
0.0000 0.0000 0.0000 Zr
0.2500 0.2500 0.2500 Mn
0.7500 0.7500 0.7500 Mn
0.5000 0.5000 0.5000 Ag
```

Values from the calculation:
ΔE_f, eV/atom: 0.2232
Symmetry: Fm-3m
VASP energy, eV for the cell shown: -28.8
Excess energy over the best structure of this formula in the dataset, eV/atom: 0.1354

=====

2.
# HfFeSn2

An optimized crystal structure of HfFeSn2 (PBE, the Alexandria database).

```
HfFeSn2
1.0
1.5967 0.9218 10.2473
-1.5967 0.9218 10.2473
0.0000 -1.8437 10.2473
Hf Fe Sn
1 1 2
direct
0.0000 0.0000 0.0000 Hf
0.5000 0.5000 0.5000 Fe
0.4143 0.4143 0.4143 Sn
0.5857 0.5857 0.5857 Sn
```

Values from the calculation:
ΔE_f, eV/atom: 0.3318
Symmetry: R-3m
VASP energy, eV for the cell shown: -25.1
Excess energy over the best structure of this formula in the dataset, eV/atom: 0.1138

=====

3.
# MgCd2Pt

An optimized crystal structure of MgCd2Pt (PBE, the Alexandria database).

```
MgCd2Pt
1.0
2.8714 -4.3340 0.0000
2.8714 4.3340 0.0000
0.0000 0.0000 3.0211
Mg Cd Pt
1 2 1
direct
0.0000 0.0000 0.0000 Mg
0.0000 0.5000 0.5000 Cd
0.5000 0.0000 0.5000 Cd
0.5000 0.5000 0.0000 Pt
```

Values from the calculation:
ΔE_f, eV/atom: -0.2112
Symmetry: Cmmm
VASP energy, eV for the cell shown: -10.3